Computed, not measured: a crystal of YTiGe relaxed with PBEsol at the meta-GGA SCAN level of DFT.

Output
Formation energy from the elements   -2.5 eV per formula unit
Uncorrected energy   -130.848 eV/cell

abc: 3.996 3.996 8.140
angles: 104.21 104.21 90.00
Element x y z (fractional)
Y (0.325, 0.325, 0.651)
Y (0.675, 0.675, 0.349)
Ge (0.877, 0.877, 0.755)
Ge (0.123, 0.123, 0.245)
Ti (0.500, 0.000, 0.000)
Ti (0.000, 0.500, 0.000)